Record 1
Here is GaFe2HRh after structural relaxation from the Alexandria database. Energies are from PBE.

Distance to the lowest polymorph of the same formula   0 meV per atom
Crystal system   tetragonal

a = 3.677 Å, b = 3.677 Å, c = 4.015 Å
α = 90.00°, β = 90.00°, γ = 90.00°
Space group P4/mmm (No. 123)
Asymmetric unit:
1 Ga 0.000 0.000 0.000
2 Fe 0.000 0.500 0.500
3 H 0.500 0.500 0.500
4 Rh 0.500 0.500 0.000



Record 2
Here is GaFe2HRu after structural relaxation from the Alexandria database. Energies are from PBE.

E_tot   -6.59 eV/atom
Crystal system   tetragonal

a = 3.723 Å, b = 3.723 Å, c = 3.932 Å
α = 90.00°, β = 90.00°, γ = 90.00°
Space group P4/mmm (No. 123)
Asymmetric unit:
1 Ga 0.000 0.000 0.000
2 Fe 0.000 0.500 0.500
3 H 0.500 0.500 0.500
4 Ru 0.500 0.500 0.000



Record 3
Here is Sc2GaFeH after structural relaxation from the Alexandria database. Energies are from PBE.

E_tot   -5.92 eV/atom
Crystal system   tetragonal

a = 4.517 Å, b = 4.517 Å, c = 3.407 Å
α = 90.00°, β = 90.00°, γ = 90.00°
Space group P4/mmm (No. 123)
Asymmetric unit:
1 Sc 0.000 0.500 0.000
2 Ga 0.000 0.000 0.500
3 Fe 0.500 0.500 0.500
4 H 0.500 0.500 0.000



Record 4
Here is GaFeSiH2 after structural relaxation from the Alexandria database. Energies are from PBE.

E_tot   -4.33 eV/atom
Crystal system   tetragonal

a = 3.496 Å, b = 3.496 Å, c = 4.511 Å
α = 90.00°, β = 90.00°, γ = 90.00°
Space group P4/mmm (No. 123)
Asymmetric unit:
1 Ga 0.000 0.000 0.000
2 Fe 0.500 0.500 0.500
3 Si 0.500 0.500 0.000
4 H 0.000 0.500 0.500



Record 5
Here is GaFe2TcH after structural relaxation from the Alexandria database. Energies are from PBE.

E_tot   -6.76 eV/atom
Crystal system   tetragonal

a = 3.748 Å, b = 3.748 Å, c = 3.921 Å
α = 90.00°, β = 90.00°, γ = 90.00°
Space group P4/mmm (No. 123)
Asymmetric unit:
1 Ga 0.000 0.000 0.000
2 Fe 0.000 0.500 0.500
3 Tc 0.500 0.500 0.000
4 H 0.500 0.500 0.500



Record 6
Here is GaFeTc2H after structural relaxation from the Alexandria database. Energies are from PBE.

E_tot   -7.05 eV/atom
Crystal system   tetragonal

a = 4.080 Å, b = 4.080 Å, c = 3.458 Å
α = 90.00°, β = 90.00°, γ = 90.00°
Space group P4/mmm (No. 123)
Asymmetric unit:
1 Ga 0.000 0.000 0.000
2 Fe 0.500 0.500 0.000
3 Tc 0.000 0.500 0.500
4 H 0.500 0.500 0.500



Record 7
Here is VGaFe2H after structural relaxation from the Alexandria database. Energies are from PBE.

E_tot   -6.59 eV/atom
Crystal system   tetragonal

a = 3.664 Å, b = 3.664 Å, c = 3.896 Å
α = 90.00°, β = 90.00°, γ = 90.00°
Space group P4/mmm (No. 123)
Asymmetric unit:
1 V 0.000 0.000 0.000
2 Ga 0.500 0.500 0.000
3 Fe 0.000 0.500 0.500
4 H 0.000 0.000 0.500



Record 8
Here is V2GaFeH after structural relaxation from the Alexandria database. Energies are from PBE.

E_tot   -6.80 eV/atom
Crystal system   tetragonal

a = 3.784 Å, b = 3.784 Å, c = 3.772 Å
α = 90.00°, β = 90.00°, γ = 90.00°
Space group P4/mmm (No. 123)
Asymmetric unit:
1 V 0.000 0.500 0.000
2 Ga 0.000 0.000 0.500
3 Fe 0.500 0.500 0.500
4 H 0.500 0.500 0.000



Record 9
Here is GaFe2HW after structural relaxation from the Alexandria database. Energies are from PBE.

E_tot   -7.15 eV/atom
Crystal system   tetragonal

a = 3.756 Å, b = 3.756 Å, c = 3.991 Å
α = 90.00°, β = 90.00°, γ = 90.00°
Space group P4/mmm (No. 123)
Asymmetric unit:
1 Ga 0.000 0.000 0.000
2 Fe 0.000 0.500 0.500
3 H 0.500 0.500 0.500
4 W 0.500 0.500 0.000



Record 10
Here is ZnGaFe2H after structural relaxation from the Alexandria database. Energies are from PBE.

E_tot   -4.85 eV/atom
Crystal system   tetragonal

a = 3.679 Å, b = 3.679 Å, c = 3.921 Å
α = 90.00°, β = 90.00°, γ = 90.00°
Space group P4/mmm (No. 123)
Asymmetric unit:
1 Zn 0.000 0.000 0.000
2 Ga 0.500 0.500 0.000
3 Fe 0.000 0.500 0.500
4 H 0.000 0.000 0.500



Record 11
Here is Zn2GaFeH after structural relaxation from the Alexandria database. Energies are from PBE.

E_tot   -3.07 eV/atom
Crystal system   tetragonal

a = 4.881 Å, b = 4.881 Å, c = 3.136 Å
α = 90.00°, β = 90.00°, γ = 90.00°
Space group P4/mmm (No. 123)
Asymmetric unit:
1 Zn 0.000 0.500 0.000
2 Ga 0.000 0.000 0.500
3 Fe 0.500 0.500 0.000
4 H 0.500 0.500 0.500



Record 12
Here is Hf6Ga2Fe after structural relaxation from the Alexandria database. Energies are from PBE.

Distance to the lowest polymorph of the same formula   632 meV per atom
Crystal system   tetragonal
Formation energy   0.280 eV/atom

a = 6.442 Å, b = 6.442 Å, c = 9.901 Å
α = 90.00°, β = 90.00°, γ = 90.00°
Space group P4_2/mnm (No. 136)
Asymmetric unit:
1 Hf 0.208 0.208 0.167
2 Hf 0.247 0.247 0.500
3 Ga 0.000 0.000 0.360
4 Fe 0.000 0.000 0.000



Record 13
Here is Hf2Ga4Fe5 after structural relaxation from the Alexandria database. Energies are from PBE.

Crystal system   orthorhombic
Formation energy   -0.119 eV/atom

a = 5.056 Å, b = 8.410 Å, c = 16.073 Å
α = 90.00°, β = 90.00°, γ = 90.00°
Space group Fmmm (No. 69)
Asymmetric unit:
1 Hf 0.000 0.000 0.096
2 Ga 0.000 0.161 0.370
3 Fe 0.000 0.000 0.500
4 Fe 0.250 0.250 0.000
5 Fe 0.250 0.250 0.250



Record 14
Here is Hf4Ga6Fe7 after structural relaxation from the Alexandria database. Energies are from PBE.

Crystal system   cubic
Formation energy   -0.258 eV/atom

a = 7.958 Å, b = 7.958 Å, c = 7.958 Å
α = 90.00°, β = 90.00°, γ = 90.00°
Space group Im-3m (No. 229)
Asymmetric unit:
1 Hf 0.250 0.250 0.250
2 Ga 0.000 0.000 0.312
3 Fe 0.000 0.000 0.000
4 Fe 0.000 0.250 0.500



Record 15
Here is HfGa2Fe after structural relaxation from the Alexandria database. Energies are from PBE.

Crystal system   orthorhombic
Formation energy   -0.335 eV/atom

a = 6.136 Å, b = 4.135 Å, c = 9.854 Å
α = 90.00°, β = 90.00°, γ = 90.00°
Space group Pnma (No. 62)
Asymmetric unit:
1 Hf 0.218 0.250 0.154
2 Ga 0.062 0.750 0.334
3 Ga 0.242 0.250 0.445
4 Fe 0.043 0.250 0.902



Record 16
Here is Hf3Ga4Fe2 after structural relaxation from the Alexandria database. Energies are from PBE.

Crystal system   monoclinic
Formation energy   -0.367 eV/atom

a = 9.963 Å, b = 4.130 Å, c = 7.819 Å
α = 90.00°, β = 112.97°, γ = 90.00°
Space group C2/m (No. 12)
Asymmetric unit:
1 Hf 0.000 0.000 0.000
2 Hf 0.149 0.500 0.676
3 Ga 0.073 0.000 0.390
4 Ga 0.212 0.500 0.067
5 Fe 0.178 0.500 0.353



Record 17
Here is Hf6GaFe5 after structural relaxation from the Alexandria database. Energies are from PBE.

Crystal system   orthorhombic
Formation energy   -0.301 eV/atom

a = 4.475 Å, b = 6.389 Å, c = 13.439 Å
α = 90.00°, β = 90.00°, γ = 90.00°
Space group Immm (No. 71)
Asymmetric unit:
1 Hf 0.000 0.240 0.000
2 Hf 0.000 0.255 0.330
3 Ga 0.000 0.000 0.500
4 Fe 0.000 0.000 0.168
5 Fe 0.000 0.500 0.165
6 Fe 0.000 0.500 0.500



Record 18
Here is Hf4Ga2Fe after structural relaxation from the Alexandria database. Energies are from PBE.

Crystal system   tetragonal
Formation energy   0.141 eV/atom

a = 4.553 Å, b = 4.553 Å, c = 14.448 Å
α = 90.00°, β = 90.00°, γ = 90.00°
Space group I4/mmm (No. 139)
Asymmetric unit:
1 Hf 0.000 0.000 0.177
2 Hf 0.000 0.500 0.000
3 Ga 0.000 0.000 0.366
4 Fe 0.000 0.000 0.000



Record 19
Here is Hf3Ga3Fe after structural relaxation from the Alexandria database. Energies are from PBE.

Crystal system   monoclinic
Formation energy   -0.429 eV/atom

a = 10.092 Å, b = 3.894 Å, c = 13.257 Å
α = 90.00°, β = 109.33°, γ = 90.00°
Space group C2/m (No. 12)
Asymmetric unit:
1 Hf 0.030 0.000 0.380
2 Hf 0.108 0.000 0.923
3 Hf 0.240 0.000 0.234
4 Ga 0.024 0.500 0.231
5 Ga 0.117 0.500 0.075
6 Ga 0.132 0.500 0.546
7 Fe 0.231 0.500 0.398



Record 20
Here is Hf12Ga6Fe after structural relaxation from the Alexandria database. Energies are from PBE.

Crystal system   trigonal
Formation energy   0.018 eV/atom

a = 11.4597 Å, b = 11.4597 Å, c = 10.8341 Å
α = 90.00°, β = 90.00°, γ = 120.00°
Space group R-3 (No. 148, hexagonal axes)
Asymmetric unit:
1 Hf 0.0345 0.1894 0.3875
2 Hf 0.0664 0.1894 0.8674
3 Ga 0.0387 0.4245 0.3029
4 Fe 0.0000 0.0000 0.0000